[1]
8
Lattice="4.9067 0.0000 0.0000 0.0000 6.8554 0.0000 0.0000 0.0000 4.9065" Properties=species:S:1:pos:R:3 comment="NdRh PBE relaxed" sg="I4_1/amd, No. 141" formation_enthalpy_0k_mev_per_atom=-277 total_energy_ev_per_atom=-6.34 pbc="T T T"
Rh 3.6800 2.5716 0.0000
Rh 1.2267 5.9993 2.4532
Rh 1.2267 4.2838 0.0000
Rh 3.6800 0.8561 2.4532
Nd 3.6800 5.9985 0.0000
Nd 1.2267 2.5708 2.4532
Nd 1.2267 0.8569 0.0000
Nd 3.6800 4.2847 2.4532



[2]
10
Lattice="-4.2819 0.0351 0.0794 0.0313 -3.0277 3.0289 2.4211 12.5639 9.5058" Properties=species:S:1:pos:R:3 comment="Tb5Te4Pt PBE relaxed" formation_energy_uncorrected_ev_per_atom=-1.29 sg="I4/mmm, No. 139" total_energy_ev_per_atom=-5.46 pbc="T T T"
Tb 0.0512 1.9150 1.9136
Tb -2.1253 -1.4963 1.5542
Tb -1.8806 7.6564 10.7005
Tb 0.1717 6.4246 6.4202
Tb -2.0012 3.1468 6.1940
Te 0.2333 8.7292 8.7231
Te -1.9424 5.3472 8.3929
Te 0.1129 4.2242 4.2213
Te -2.0628 0.8422 3.8911
Pt 0.0000 0.0000 0.0000



[3]
4
Lattice="3.6266 0.0000 0.0000 1.8133 3.1407 0.0000 1.8133 1.0469 9.4077" Properties=species:S:1:pos:R:3 comment="Dy2ErNi PBE relaxed" sg="R-3m, No. 166" formation_enthalpy_0k_mev_per_atom=-76 total_energy_ev_per_atom=-4.96 pbc="T T T"
Ni 0.0000 0.0000 0.0000
Dy 1.8133 1.0469 1.7440
Dy 5.4399 3.1407 7.6637
Er 3.6266 2.0938 4.7039



[4]
4
Lattice="-0.6123 0.3476 3.3992 -3.0496 -7.1784 0.1847 1.6937 -5.6313 0.8809" Properties=species:S:1:pos:R:3 comment="La2ZnRe PBE relaxed" sg="P2/m, No. 10" formation_enthalpy_0k_mev_per_atom=400 total_energy_ev_per_atom=-5.49 pbc="T T T"
La 0.0000 0.0000 0.0000
La -1.8310 -3.4154 1.7919
Re -0.9841 -6.2311 2.2324
Zn 0.8468 -2.8156 0.4404



Number 1: D(E_F) 8.873 states/eV/cell. Number 2: D(E_F) 6.132 states/eV/cell. Number 3: D(E_F) 4.116 states/eV/cell. Number 4: D(E_F) 4.453 states/eV/cell.